1.
{
  "formula": "NdEuCuOs",
  "functional": "GGA-PBE",
  "state": "relaxed",
  "lattice_angstrom": [[0.000, 3.534, 3.534], [3.534, 0.000, 3.534], [3.534, 3.534, 0.000]],
  "species": ["Nd", "Eu", "Cu", "Os"],
  "frac_coords": [[0.000, 0.000, 0.000], [0.500, 0.500, 0.500], [0.250, 0.250, 0.250], [0.750, 0.750, 0.750]],
  "total_energy_ev_per_atom": -7.51,
  "formation_energy_ev_per_atom": 0.08,
  "sg": "No. 216",
  "dos_ef_per_ev_atom": 2.441
}



2.
{
  "formula": "NdEuCuPt",
  "functional": "GGA-PBE",
  "state": "relaxed",
  "lattice_angstrom": [[0.000, 3.598, 3.598], [3.598, 0.000, 3.598], [3.598, 3.598, 0.000]],
  "species": ["Nd", "Eu", "Cu", "Pt"],
  "frac_coords": [[0.000, 0.000, 0.000], [0.500, 0.500, 0.500], [0.750, 0.750, 0.750], [0.250, 0.250, 0.250]],
  "total_energy_ev_per_atom": -6.87,
  "formation_energy_ev_per_atom": -0.57,
  "sg": "No. 216",
  "dos_ef_per_ev_atom": 1.653
}



3.
{
  "formula": "NdEuCuRu",
  "functional": "GGA-PBE",
  "state": "relaxed",
  "lattice_angstrom": [[0.000, 3.541, 3.541], [3.541, 0.000, 3.541], [3.541, 3.541, 0.000]],
  "species": ["Nd", "Eu", "Cu", "Ru"],
  "frac_coords": [[0.000, 0.000, 0.000], [0.500, 0.500, 0.500], [0.750, 0.750, 0.750], [0.250, 0.250, 0.250]],
  "total_energy_ev_per_atom": -7.14,
  "formation_energy_ev_per_atom": -0.03,
  "sg": "No. 216",
  "dos_ef_per_ev_atom": 2.697
}



4.
{
  "formula": "NdEuCuS3",
  "functional": "GGA-PBE",
  "state": "relaxed",
  "lattice_angstrom": [[11.068, 0.000, 0.000], [0.000, 4.044, 0.000], [0.000, 0.000, 11.467]],
  "species": ["Nd", "Nd", "Nd", "Nd", "Eu", "Eu", "Eu", "Eu", "Cu", "Cu", "Cu", "Cu", "S", "S", "S", "S", "S", "S", "S", "S", "S", "S", "S", "S"],
  "frac_coords": [[0.013, 0.250, 0.183], [0.487, 0.750, 0.683], [0.513, 0.250, 0.317], [0.987, 0.750, 0.817], [0.183, 0.250, 0.505], [0.317, 0.750, 0.005], [0.683, 0.250, 0.995], [0.817, 0.750, 0.495], [0.243, 0.750, 0.285], [0.257, 0.250, 0.785], [0.743, 0.750, 0.215], [0.757, 0.250, 0.715], [0.049, 0.750, 0.362], [0.117, 0.250, 0.941], [0.221, 0.750, 0.691], [0.279, 0.250, 0.191], [0.383, 0.750, 0.441], [0.451, 0.250, 0.862], [0.549, 0.750, 0.138], [0.617, 0.250, 0.559], [0.721, 0.750, 0.809], [0.779, 0.250, 0.309], [0.883, 0.750, 0.059], [0.951, 0.250, 0.638]],
  "total_energy_ev_per_atom": -6.90,
  "raw_formation_energy_kj_per_mol_atoms": -159.28,
  "sg": "No. 62",
  "dos_ef_per_ev_atom": 2.820
}



5.
{
  "formula": "NdEuCuSb",
  "functional": "GGA-PBE",
  "state": "relaxed",
  "lattice_angstrom": [[0.000, 3.774, 3.774], [3.774, 0.000, 3.774], [3.774, 3.774, 0.000]],
  "species": ["Nd", "Eu", "Cu", "Sb"],
  "frac_coords": [[0.000, 0.000, 0.000], [0.500, 0.500, 0.500], [0.750, 0.750, 0.750], [0.250, 0.250, 0.250]],
  "total_energy_ev_per_atom": -6.33,
  "raw_formation_energy_kj_per_mol_atoms": -50.01,
  "sg": "No. 216",
  "dos_ef_per_ev_atom": 0.698
}



6.
{
  "formula": "NdEuCuSn",
  "functional": "GGA-PBE",
  "state": "relaxed",
  "lattice_angstrom": [[0.000, 3.790, 3.790], [3.790, 0.000, 3.790], [3.790, 3.790, 0.000]],
  "species": ["Nd", "Eu", "Cu", "Sn"],
  "frac_coords": [[0.000, 0.000, 0.000], [0.500, 0.500, 0.500], [0.750, 0.750, 0.750], [0.250, 0.250, 0.250]],
  "total_energy_ev_per_atom": -6.20,
  "formation_energy_ev_per_atom": -0.41,
  "sg": "No. 216",
  "dos_ef_per_ev_atom": 2.531
}



7.
{
  "formula": "Eu2CuNi",
  "functional": "GGA-PBE",
  "state": "relaxed",
  "lattice_angstrom": [[0.000, 3.557, 3.557], [3.557, 0.000, 3.557], [3.557, 3.557, 0.000]],
  "species": ["Eu", "Eu", "Cu", "Ni"],
  "frac_coords": [[0.250, 0.250, 0.250], [0.750, 0.750, 0.750], [0.000, 0.000, 0.000], [0.500, 0.500, 0.500]],
  "total_energy_ev_per_atom": -7.67,
  "formation_energy_ev_per_atom": -0.06,
  "sg": "No. 225",
  "relative_energy_mev_per_atom": 0,
  "dos_ef_per_ev_atom": 3.564
}



8.
{
  "formula": "Eu2CuNi",
  "functional": "GGA-PBE",
  "state": "relaxed",
  "lattice_angstrom": [[3.545, 0.000, 0.000], [0.000, 3.545, 0.000], [0.000, 0.000, 7.181]],
  "species": ["Eu", "Eu", "Cu", "Ni"],
  "frac_coords": [[0.000, 0.000, 0.238], [0.000, 0.000, 0.762], [0.500, 0.500, 0.500], [0.500, 0.500, 0.000]],
  "total_energy_ev_per_atom": -7.67,
  "formation_energy_ev_per_atom": -0.06,
  "sg": "No. 123",
  "relative_energy_mev_per_atom": 0,
  "dos_ef_per_ev_atom": 3.689
}



9.
{
  "formula": "EuCu4Ni",
  "functional": "GGA-PBE",
  "state": "relaxed",
  "lattice_angstrom": [[0.000, 3.549, 3.549], [3.549, 0.000, 3.549], [3.549, 3.549, 0.000]],
  "species": ["Eu", "Cu", "Cu", "Cu", "Cu", "Ni"],
  "frac_coords": [[0.000, 0.000, 0.000], [0.377, 0.377, 0.377], [0.377, 0.377, 0.870], [0.377, 0.870, 0.377], [0.870, 0.377, 0.377], [0.750, 0.750, 0.750]],
  "total_energy_ev_per_atom": -5.41,
  "formation_energy_ev_per_atom": 0.00,
  "sg": "No. 216",
  "dos_ef_per_ev_atom": 1.681
}



10.
{
  "formula": "Eu2CuNi",
  "functional": "GGA-PBE",
  "state": "relaxed",
  "lattice_angstrom": [[1.727, 0.997, 9.656], [-1.727, 0.997, 9.656], [0.000, -1.994, 9.656]],
  "species": ["Eu", "Eu", "Cu", "Ni"],
  "frac_coords": [[0.089, 0.089, 0.089], [0.911, 0.911, 0.911], [0.500, 0.500, 0.500], [0.000, 0.000, 0.000]],
  "total_energy_ev_per_atom": -7.03,
  "formation_energy_ev_per_atom": 0.58,
  "sg": "No. 166",
  "relative_energy_mev_per_atom": 638,
  "dos_ef_per_ev_atom": 1.133
}



11.
{
  "formula": "EuCuNiSn",
  "functional": "GGA-PBE",
  "state": "relaxed",
  "lattice_angstrom": [[0.000, 3.350, 3.350], [3.350, 0.000, 3.350], [3.350, 3.350, 0.000]],
  "species": ["Eu", "Cu", "Ni", "Sn"],
  "frac_coords": [[0.000, 0.000, 0.000], [0.750, 0.750, 0.750], [0.250, 0.250, 0.250], [0.500, 0.500, 0.500]],
  "total_energy_ev_per_atom": -6.23,
  "formation_energy_ev_per_atom": -0.19,
  "sg": "No. 216",
  "dos_ef_per_ev_atom": 2.956
}



12.
{
  "formula": "TbEuCuNi",
  "functional": "GGA-PBE",
  "state": "relaxed",
  "lattice_angstrom": [[0.000, 3.485, 3.485], [3.485, 0.000, 3.485], [3.485, 3.485, 0.000]],
  "species": ["Tb", "Eu", "Cu", "Ni"],
  "frac_coords": [[0.000, 0.000, 0.000], [0.500, 0.500, 0.500], [0.750, 0.750, 0.750], [0.250, 0.250, 0.250]],
  "total_energy_ev_per_atom": -6.34,
  "formation_energy_ev_per_atom": -0.15,
  "sg": "No. 216",
  "dos_ef_per_ev_atom": 1.476
}